No. 1
A plane-wave DFT calculation with PBE-GGA was carried out for crystalline TaHgSbSe2 at its relaxed geometry.

Cell and atoms, written as extended XYZ:
```
5
Lattice="4.923 0.000 0.000 0.000 4.923 0.000 0.000 0.000 5.724" Properties=species:S:1:pos:R:3 pbc="T T T"
Ta 0.000 0.000 0.000
Hg 0.000 0.000 2.862
Sb 2.461 2.461 2.862
Se 0.000 2.461 0.000
Se 2.461 0.000 0.000
```

Values from the calculation:
E_form (uncorrected) = 29 kJ/mol of atoms
crystal system = tetragonal

No. 2
A plane-wave DFT calculation with PBE-GGA was carried out for crystalline Tb4HgSb2Se at its relaxed geometry.

Cell and atoms, written as extended XYZ:
```
8
Lattice="7.253 0.000 0.000 0.000 4.264 0.000 -2.494 0.000 7.334" Properties=species:S:1:pos:R:3 pbc="T T T"
Tb 1.164 0.000 1.763
Tb -0.117 2.132 5.576
Tb 4.876 2.132 1.759
Tb 3.595 0.000 5.571
Hg -1.247 0.000 3.667
Sb 3.627 0.000 0.000
Sb 2.380 2.132 3.667
Se 0.000 2.132 0.000
```

Values from the calculation:
E_form (uncorrected) = -105 kJ/mol of atoms
crystal system = monoclinic

No. 3
A plane-wave DFT calculation with PBE-GGA was carried out for crystalline HgSbTe2Se at its relaxed geometry.

Cell and atoms, written as extended XYZ:
```
5
Lattice="5.529 0.000 0.000 0.000 5.529 0.000 0.000 0.000 5.657" Properties=species:S:1:pos:R:3 pbc="T T T"
Hg 0.000 0.000 0.000
Sb 0.000 0.000 2.828
Te 0.000 2.764 0.000
Te 2.764 0.000 0.000
Se 2.764 2.764 2.828
```

Values from the calculation:
E_form (uncorrected) = 85 kJ/mol of atoms
crystal system = tetragonal
E above lowest polymorph = 372.3 meV per atom

No. 4
A plane-wave DFT calculation with PBE-GGA was carried out for crystalline HgSbTe2Se at its relaxed geometry.

Cell and atoms, written as extended XYZ:
```
5
Lattice="5.527 0.000 0.000 0.000 5.527 0.000 0.000 0.000 5.555" Properties=species:S:1:pos:R:3 pbc="T T T"
Hg 0.000 0.000 0.000
Sb 2.763 2.763 0.000
Te 0.000 2.763 2.777
Te 2.763 0.000 2.777
Se 2.763 2.763 2.777
```

Values from the calculation:
E_form (uncorrected) = 49 kJ/mol of atoms
crystal system = tetragonal
E above lowest polymorph = 0.0 meV per atom

> Which formula does entry 3 have?

HgSbTe2Se

What did the second record say?
A plane-wave DFT calculation with PBE-GGA was carried out for crystalline Tb4HgSb2Se at its relaxed geometry.

Cell and atoms, written as extended XYZ:
```
8
Lattice="7.253 0.000 0.000 0.000 4.264 0.000 -2.494 0.000 7.334" Properties=species:S:1:pos:R:3 pbc="T T T"
Tb 1.164 0.000 1.763
Tb -0.117 2.132 5.576
Tb 4.876 2.132 1.759
Tb 3.595 0.000 5.571
Hg -1.247 0.000 3.667
Sb 3.627 0.000 0.000
Sb 2.380 2.132 3.667
Se 0.000 2.132 0.000
```

Values from the calculation:
E_form (uncorrected) = -105 kJ/mol of atoms
crystal system = monoclinic

> Look up the E_form (uncorrected) of the first one.

29 kJ/mol of atoms